one | ## Zr2Ta3 (PBE)

Data for crystalline Zr2Ta3 at its relaxed geometry.

a b c (Å): 8.8342 7.6938 5.8778
angles (deg): 80.00 59.06 40.94
With the nearest neighbours (Å) after each atom.
Atoms (fractional coordinates):
Zr: 0.8561 0.2549 0.5186  8 Ta 2.93-3.16
Zr: 0.3704 0.5186 0.2549  8 Ta 2.93-3.16
Zr: 0.9951 0.3939 0.8796  8 Ta 2.93-3.16
Zr: 0.7314 0.8796 0.3939  8 Ta 2.93-3.16
Ta: 0.4258 0.7970 0.4330  4 Ta 2.77-2.96, 4 Zr 2.93-3.06
Ta: 0.3442 0.4330 0.7970  4 Ta 2.77-2.96, 4 Zr 2.93-3.06
Ta: 0.4530 0.8242 0.9058  4 Ta 2.77-2.96, 4 Zr 2.93-3.06
Ta: 0.8170 0.9058 0.8242  4 Ta 2.77-2.96, 4 Zr 2.93-3.06
Ta: 0.0036 0.9964 0.9964  4 Ta 2.77-2.82, 4 Zr 2.97-3.03
Ta: 0.2536 0.2464 0.2464  4 Ta 2.77-2.82, 4 Zr 2.97-3.03


two | ## Zr2Ta3 (PBE)

Data for crystalline Zr2Ta3 at its relaxed geometry.

a b c (Å): 12.6652 12.6652 12.6652
angles (deg): 13.86 13.86 13.86
With the nearest neighbours (Å) after each atom.
Atoms (fractional coordinates):
Zr: 0.5990 0.5990 0.5990  6 Zr 3.06, 6 Ta 3.09-3.10
Zr: 0.4010 0.4010 0.4010  6 Zr 3.06, 6 Ta 3.09-3.10
Ta: 0.0000 0.0000 0.0000  6 Ta 3.06, 6 Zr 3.10
Ta: 0.8016 0.8016 0.8016  9 Ta 2.97-3.06, 3 Zr 3.09
Ta: 0.1984 0.1984 0.1984  9 Ta 2.97-3.06, 3 Zr 3.09


Calculated relative energies: one 0.000; two 0.023, given in eV/atom


one | ## TbTc2 (PBE)

Data for crystalline TbTc2 at its relaxed geometry.

a b c (Å): 3.1356 3.1356 6.1711
angles (deg): 104.72 104.72 90.00
With the nearest neighbours (Å) after each atom.
Atoms (fractional coordinates):
Tb: 0.0000 0.0000 0.0000  4 Tb 3.14, 8 Tc 3.15
Tc: 0.6941 0.6941 0.3881  4 Tc 2.56
Tc: 0.3059 0.3059 0.6119  4 Tc 2.56


two | ## TbTc2 (PBE)

Data for crystalline TbTc2 at its relaxed geometry.

a b c (Å): 5.4136 5.4136 8.8157
angles (deg): 90.00 90.00 120.00
With the nearest neighbours (Å) after each atom.
Atoms (fractional coordinates):
Tb: 0.3333 0.6667 0.4376  12 Tc 3.15-3.17, 4 Tb 3.31
Tb: 0.6667 0.3333 0.5624  12 Tc 3.15-3.17, 4 Tb 3.31
Tb: 0.6667 0.3333 0.9376  12 Tc 3.15-3.17, 4 Tb 3.31
Tb: 0.3333 0.6667 0.0624  12 Tc 3.15-3.17, 4 Tb 3.31
Tc: 0.0000 0.0000 0.5000  6 Tc 2.73
Tc: 0.0000 0.0000 0.0000  6 Tc 2.73
Tc: 0.8288 0.1712 0.2500  6 Tc 2.63-2.78
Tc: 0.8288 0.6575 0.2500  6 Tc 2.63-2.78
Tc: 0.3425 0.1712 0.2500  6 Tc 2.63-2.78
Tc: 0.1712 0.8288 0.7500  6 Tc 2.63-2.78
Tc: 0.1712 0.3425 0.7500  6 Tc 2.63-2.78
Tc: 0.6575 0.8288 0.7500  6 Tc 2.63-2.78


Calculated relative energies: one 0.215; two 0.000, given in eV/atom